First-principles (PBE with a Hubbard U) data for an optimized crystal structure of Ba2GdCoCu2O7, as listed in the Alexandria database.

Calculated values
uncorrected energy = -0.5091 Ry per atom

Unit cell a=3.8797 b=3.9327 c=11.8646 alpha=90.00 beta=90.00 gamma=90.00
With the nearest neighbours (Å) after each atom.
Fractional positions:
O 0.0000 0.0000 0.8485  1 Co 1.80
O 0.5000 0.0000 0.6237  2 Cu 1.95
O 0.0000 0.5000 0.0000  2 Co 1.97
O 0.5000 0.0000 0.3763  2 Cu 1.95
O 0.0000 0.5000 0.3756  2 Cu 1.98
O 0.0000 0.0000 0.1515  1 Co 1.80
O 0.0000 0.5000 0.6244  2 Cu 1.98
Co 0.0000 0.0000 0.0000  4 O 1.80-1.97
Cu 0.0000 0.0000 0.6405  4 O 1.95-1.98
Cu 0.0000 0.0000 0.3595  4 O 1.95-1.98
Ba 0.5000 0.5000 0.8169  10 O 2.79-3.02
Ba 0.5000 0.5000 0.1831  10 O 2.79-3.02
Gd 0.5000 0.5000 0.5000  8 O 2.44-2.45